1.
The following is a DFT calculation (GGA-PBE) of an optimized crystal structure of LiHfZrN3.

Computed properties:
DFT total energy = -105.3 eV for the cell shown
ρ = 7.88 g/cm3
E_form (uncorrected) = -1.2097 eV per atom
space-group type = P2_1/m

Lattice parameters (Å, degrees): 6.613 3.135 6.621 90.00 102.00 90.00
Element x y z (fractional)
Li1 0.083 0.250 0.081
Li2 0.917 0.750 0.919
Hf1 0.337 0.750 0.318
Hf2 0.663 0.250 0.682
Zr1 0.186 0.250 0.726
Zr2 0.814 0.750 0.274
N1 0.113 0.250 0.366
N2 0.212 0.750 0.981
N3 0.426 0.750 0.663
N4 0.574 0.250 0.337
N5 0.788 0.250 0.019
N6 0.887 0.750 0.634

2.
The following is a DFT calculation (GGA-PBE) of an optimized crystal structure of LiHf2Zr3N6.

Computed properties:
DFT total energy = -116.8 eV for the cell shown
ρ = 8.47 g/cm3
E_form (uncorrected) = -1.6180 eV per atom
space-group type = C2/m

Lattice parameters (Å, degrees): 7.195 7.195 6.441 103.03 103.03 25.84
Element x y z (fractional)
Li1 0.000 0.000 0.000
Hf1 0.339 0.339 0.674
Hf2 0.661 0.661 0.326
Zr1 0.000 0.000 0.500
Zr2 0.341 0.341 0.165
Zr3 0.659 0.659 0.835
N1 0.169 0.169 0.091
N2 0.169 0.169 0.579
N3 0.497 0.497 0.744
N4 0.503 0.503 0.256
N5 0.831 0.831 0.421
N6 0.831 0.831 0.909

3.
The following is a DFT calculation (GGA-PBE) of an optimized crystal structure of NaLiHf3.

Computed properties:
relative energy among the computed polymorphs = 0.000 eV per formula unit
DFT total energy = -27.7 eV for the cell shown
ρ = 8.16 g/cm3
space-group type = Pm-3m

Lattice parameters (Å, degrees): 4.864 4.864 4.864 90.00 90.00 90.00
Element x y z (fractional)
Na1 0.000 0.000 0.000
Li1 0.500 0.500 0.500
Hf1 0.000 0.500 0.500
Hf2 0.500 0.000 0.500
Hf3 0.500 0.500 0.000

4.
The following is a DFT calculation (GGA-PBE) of an optimized crystal structure of Na2Li2Hf.

Computed properties:
relative energy among the computed polymorphs = 0.000 eV per formula unit
DFT total energy = -28.2 eV for the cell shown
ρ = 3.39 g/cm3
space-group type = P4/mbm

Lattice parameters (Å, degrees): 8.870 8.870 2.968 90.00 90.00 90.00
Element x y z (fractional)
Na1 0.145 0.355 0.000
Na2 0.355 0.855 0.000
Na3 0.645 0.145 0.000
Na4 0.855 0.645 0.000
Li1 0.162 0.662 0.500
Li2 0.338 0.162 0.500
Li3 0.662 0.838 0.500
Li4 0.838 0.338 0.500
Hf1 0.000 0.000 0.500
Hf2 0.500 0.500 0.500

5.
The following is a DFT calculation (GGA-PBE) of an optimized crystal structure of Na3LiHf.

Computed properties:
relative energy among the computed polymorphs = 0.000 eV per formula unit
DFT total energy = -11.0 eV for the cell shown
ρ = 3.00 g/cm3
space-group type = Pm-3m

Lattice parameters (Å, degrees): 5.202 5.202 5.202 90.00 90.00 90.00
Element x y z (fractional)
Na1 0.000 0.000 0.500
Na2 0.000 0.500 0.000
Na3 0.500 0.000 0.000
Li1 0.000 0.000 0.000
Hf1 0.500 0.500 0.500

6.
The following is a DFT calculation (GGA-PBE) of an optimized crystal structure of NaLi2Hf.

Computed properties:
relative energy among the computed polymorphs = 0.000 eV per formula unit
DFT total energy = -13.9 eV for the cell shown
ρ = 3.86 g/cm3
space-group type = R-3m

Lattice parameters (Å, degrees): 11.903 11.903 11.903 14.54 14.54 14.54
Element x y z (fractional)
Na1 0.000 0.000 0.000
Li1 0.418 0.418 0.418
Li2 0.582 0.582 0.582
Hf1 0.500 0.500 0.500